No. 1
The following is a meta-GGA SCAN calculation of a crystal of La2MnP relaxed with PBEsol, from the Alexandria database.

## Properties
Electronic total energy = -29.38 eV/atom
SG = P4/mmm, No. 123

a = 3.7165 Å, b = 3.7165 Å, c = 6.9178 Å
α = 90.00°, β = 90.00°, γ = 90.00°
Site moments in Bohr magnetons follow the coordinates.
Sites, in units of the cell vectors:
La (0.0000, 0.0000, 0.7290)  -0.25
La (0.0000, 0.0000, 0.2710)  -0.25
Mn (0.5000, 0.5000, 0.0000)  4.10
P (0.5000, 0.5000, 0.5000)  0.05



No. 2
The following is a meta-GGA SCAN calculation of a crystal of LaMnPb2 relaxed with PBEsol, from the Alexandria database.

## Properties
Relative energy among the computed polymorphs = 0 meV/atom
SG = I-4m2, No. 119

a = 4.5417 Å, b = 4.5417 Å, c = 5.9867 Å
α = 112.29°, β = 112.29°, γ = 90.00°
Site moments in Bohr magnetons follow the coordinates.
Sites, in units of the cell vectors:
La (0.5000, 0.5000, 0.0000)  -0.11
Mn (0.2500, 0.7500, 0.5000)  4.31
Pb (0.0000, 0.0000, 0.0000)  -0.03
Pb (0.7500, 0.2500, 0.5000)  -0.06



No. 3
The following is a meta-GGA SCAN calculation of a crystal of LaMnPb2 relaxed with PBEsol, from the Alexandria database.

## Properties
Relative energy among the computed polymorphs = 135 meV/atom
SG = Immm, No. 71

a = 3.3798 Å, b = 5.7748 Å, c = 6.1611 Å
α = 117.95°, β = 105.92°, γ = 90.00°
Site moments in Bohr magnetons follow the coordinates.
Sites, in units of the cell vectors:
La (0.5000, 0.0000, 0.0000)  -0.39
Mn (0.0000, 0.5000, 0.0000)  3.85
Pb (0.7161, 0.7161, 0.4321)  -0.05
Pb (0.2839, 0.2839, 0.5679)  -0.05



No. 4
The following is a meta-GGA SCAN calculation of a crystal of La2MnPb relaxed with PBEsol, from the Alexandria database.

## Properties
Electronic total energy = -45.40 eV/atom
SG = P2/m, No. 10

a = 3.5975 Å, b = 3.5985 Å, c = 8.4086 Å
α = 90.00°, β = 90.13°, γ = 90.00°
Site moments in Bohr magnetons follow the coordinates.
Sites, in units of the cell vectors:
La (0.0012, 0.0000, 0.7796)  -0.22
La (0.9988, 0.0000, 0.2204)  -0.22
Mn (0.5000, 0.5000, 0.0000)  3.94
Pb (0.5000, 0.5000, 0.5000)  0.02



No. 5
The following is a meta-GGA SCAN calculation of a crystal of La3MnPb relaxed with PBEsol, from the Alexandria database.

## Properties
Electronic total energy = -45.01 eV/atom
SG = Pm-3m, No. 221

a = 5.1636 Å, b = 5.1636 Å, c = 5.1636 Å
α = 90.00°, β = 90.00°, γ = 90.00°
Site moments in Bohr magnetons follow the coordinates.
Sites, in units of the cell vectors:
Pb (0.5000, 0.5000, 0.5000)  0.00
Mn (0.0000, 0.0000, 0.0000)  0.48
La (0.0000, 0.5000, 0.0000)  -0.04
La (0.0000, 0.0000, 0.5000)  -0.04
La (0.5000, 0.0000, 0.0000)  -0.04



No. 6
The following is a meta-GGA SCAN calculation of a crystal of LaMnPb2 relaxed with PBEsol, from the Alexandria database.

## Properties
Relative energy among the computed polymorphs = 41 meV/atom
SG = Fm-3m, No. 225

a = 5.2593 Å, b = 5.2593 Å, c = 5.2593 Å
α = 60.00°, β = 60.00°, γ = 60.00°
Site moments in Bohr magnetons follow the coordinates.
Sites, in units of the cell vectors:
Pb (0.2500, 0.2500, 0.2500)  -0.04
Pb (0.7500, 0.7500, 0.7500)  -0.04
Mn (0.0000, 0.0000, 0.0000)  4.29
La (0.5000, 0.5000, 0.5000)  -0.04



No. 7
The following is a meta-GGA SCAN calculation of a crystal of LaMn2SnPd relaxed with PBEsol, from the Alexandria database.

## Properties
Electronic total energy = -28.52 eV/atom
SG = P4/mmm, No. 123

a = 4.7396 Å, b = 4.7396 Å, c = 5.0479 Å
α = 90.00°, β = 90.00°, γ = 90.00°
Site moments in Bohr magnetons follow the coordinates.
Sites, in units of the cell vectors:
Mn (0.0000, 0.5000, 0.0000)  3.34
Mn (0.5000, 0.0000, 0.0000)  3.34
Sn (0.5000, 0.5000, 0.5000)  0.01
Pd (0.0000, 0.0000, 0.5000)  -0.03
La (0.0000, 0.0000, 0.0000)  -0.27



No. 8
The following is a meta-GGA SCAN calculation of a crystal of LaMn2Pt relaxed with PBEsol, from the Alexandria database.

## Properties
Electronic total energy = -37.73 eV/atom
SG = Fm-3m, No. 225

a = 4.5673 Å, b = 4.5673 Å, c = 4.5673 Å
α = 60.00°, β = 60.00°, γ = 60.00°
Site moments in Bohr magnetons follow the coordinates.
Sites, in units of the cell vectors:
La (0.0000, 0.0000, 0.0000)  -0.18
Mn (0.7500, 0.7500, 0.7500)  3.58
Mn (0.2500, 0.2500, 0.2500)  3.58
Pt (0.5000, 0.5000, 0.5000)  0.12



No. 9
The following is a meta-GGA SCAN calculation of a crystal of LaMn2Pt relaxed with PBEsol, from the Alexandria database.

## Properties
Electronic total energy = -37.76 eV/atom
SG = P2/m, No. 10

a = 3.0625 Å, b = 4.4888 Å, c = 5.5875 Å
α = 90.00°, β = 104.13°, γ = 90.00°
Site moments in Bohr magnetons follow the coordinates.
Sites, in units of the cell vectors:
La (0.0000, 0.5000, 0.5000)  -0.25
Mn (0.6768, 0.0000, 0.7900)  3.97
Mn (0.3232, 0.0000, 0.2100)  3.97
Pt (0.5000, 0.5000, 0.0000)  0.24



No. 10
The following is a meta-GGA SCAN calculation of a crystal of LaMn2Pt relaxed with PBEsol, from the Alexandria database.

## Properties
Electronic total energy = -37.53 eV/atom
SG = C2/m, No. 12

a = 2.9722 Å, b = 5.3532 Å, c = 5.2288 Å
α = 117.78°, β = 101.63°, γ = 99.29°
Site moments in Bohr magnetons follow the coordinates.
Sites, in units of the cell vectors:
La (0.0000, 0.5000, 0.0000)  -0.39
Mn (0.0000, 0.0000, 0.5000)  3.63
Mn (0.5000, 0.5000, 0.5000)  3.63
Pt (0.5000, 0.0000, 0.0000)  0.17



No. 11
The following is a meta-GGA SCAN calculation of a crystal of LaMnPt relaxed with PBEsol, from the Alexandria database.

## Properties
Electronic total energy = -44.56 eV/atom
SG = F-43m, No. 216

a = 4.6959 Å, b = 4.6959 Å, c = 4.6959 Å
α = 60.00°, β = 60.00°, γ = 60.00°
Site moments in Bohr magnetons follow the coordinates.
Sites, in units of the cell vectors:
La (0.0000, 0.0000, 0.0000)  -0.10
Mn (0.5000, 0.5000, 0.5000)  4.29
Pt (0.2500, 0.2500, 0.2500)  0.09



No. 12
The following is a meta-GGA SCAN calculation of a crystal of La4MnPt relaxed with PBEsol, from the Alexandria database.

## Properties
Electronic total energy = -43.05 eV/atom
SG = F-43m, No. 216

a = 6.1226 Å, b = 6.1226 Å, c = 6.1226 Å
α = 60.00°, β = 60.00°, γ = 60.00°
Site moments in Bohr magnetons follow the coordinates.
Sites, in units of the cell vectors:
La (0.3743, 0.3743, 0.3743)  -0.12
La (0.3743, 0.3743, 0.8772)  -0.12
La (0.8772, 0.3743, 0.3743)  -0.12
La (0.3743, 0.8772, 0.3743)  -0.12
Mn (0.7500, 0.7500, 0.7500)  4.44
Pt (0.0000, 0.0000, 0.0000)  0.04